(1)
Compound: SrPbI2
Source: Alexandria via LeMat-Bulk
Functional: PBE
Structure: optimized geometry

Cell lengths 4.337, 4.337, 11.502 Å; angles 79.13, 79.13, 60.00 degrees
Element x y z (fractional)
I (0.097, 0.097, 0.709)
I (0.903, 0.903, 0.291)
Pb (0.500, 0.500, 0.500)
Sr (0.000, 0.000, 0.000)

- distance to the lowest polymorph of the same formula (eV/f.u.) = 1.11
- symmetry = R-3m (166)
- uncorrected formation energy (meV/atom) = -451

(2)
Compound: KPbCl2
Source: Alexandria via LeMat-Bulk
Functional: PBE
Structure: optimized geometry

Cell lengths 5.432, 5.432, 5.432 Å; angles 60.00, 60.00, 60.00 degrees
Element x y z (fractional)
K (0.000, 0.000, 0.000)
Cl (0.750, 0.750, 0.750)
Cl (0.250, 0.250, 0.250)
Pb (0.500, 0.500, 0.500)

- distance to the lowest polymorph of the same formula (eV/f.u.) = 1.04
- symmetry = Fm-3m (225)
- uncorrected formation energy (meV/atom) = -988

(3)
Compound: PIr2Se
Source: Alexandria via LeMat-Bulk
Functional: PBE
Structure: optimized geometry

Cell lengths 3.435, 3.435, 5.474 Å; angles 90.00, 90.00, 90.00 degrees
Element x y z (fractional)
Ir (0.500, 0.500, 0.287)
Ir (0.000, 0.000, 0.982)
Se (0.500, 0.500, 0.827)
P (0.000, 0.000, 0.404)

- symmetry = P4mm (99)
- uncorrected formation energy (meV/atom) = 65

(4)
Compound: LaTbGaGe
Source: Alexandria via LeMat-Bulk
Functional: PBE
Structure: optimized geometry

Cell lengths 5.202, 5.202, 5.202 Å; angles 60.00, 60.00, 60.00 degrees
Element x y z (fractional)
Tb (0.000, 0.000, 0.000)
Ge (0.750, 0.750, 0.750)
Ga (0.250, 0.250, 0.250)
La (0.500, 0.500, 0.500)

- distance to the lowest polymorph of the same formula (eV/f.u.) = 0.62
- energy relative to the elements (eV per formula unit) = -2.4
- symmetry = F-43m (216)

(5)
Compound: NpUPt2
Source: Alexandria via LeMat-Bulk
Functional: PBE
Structure: optimized geometry

Cell lengths 4.024, 4.024, 7.110 Å; angles 73.56, 73.56, 60.00 degrees
Element x y z (fractional)
Np (0.500, 0.500, 0.500)
Pt (0.748, 0.748, 0.756)
Pt (0.252, 0.252, 0.244)
U (0.000, 0.000, 0.000)

- distance to the lowest polymorph of the same formula (eV/f.u.) = 1.09
- energy relative to the elements (eV per formula unit) = -1.8
- symmetry = R-3m (166)

| no. | uncorrected energy (eV/cell) |
| --- | --- |
| 1 | -10.30 |
| 2 | -12.45 |
| 3 | -26.36 |
| 4 | -19.60 |
| 5 | -38.07 |